No. 1
Compound: Li5SnPd6
Source: OQMD via LeMat-Bulk
Functional: GGA-PBE
Structure: relaxed

Cell: 6.802 6.802 6.075 Å, 90.00 90.00 142.80°
Sites, in units of the cell vectors:
1 Li 0.000 0.000 0.000
2 Li 0.331 0.669 0.500
3 Li 0.336 0.664 0.000
4 Li 0.664 0.336 0.000
5 Li 0.669 0.331 0.500
6 Sn 0.000 0.000 0.500
7 Pd 0.170 0.830 0.241
8 Pd 0.170 0.830 0.759
9 Pd 0.500 0.500 0.241
10 Pd 0.500 0.500 0.759
11 Pd 0.830 0.170 0.241
12 Pd 0.830 0.170 0.759

=====

No. 2
Compound: SrLiSn4Pd2
Source: OQMD via LeMat-Bulk
Functional: GGA-PBE
Structure: relaxed

Cell: 7.590 4.478 11.144 Å, 90.00 90.00 90.00°
Sites, in units of the cell vectors:
1 Sr 0.000 0.000 0.000
2 Sr 0.000 0.500 0.500
3 Li 0.500 0.000 0.866
4 Li 0.500 0.500 0.366
5 Sn 0.213 0.000 0.294
6 Sn 0.213 0.500 0.794
7 Sn 0.303 0.000 0.579
8 Sn 0.303 0.500 0.079
9 Sn 0.697 0.000 0.579
10 Sn 0.697 0.500 0.079
11 Sn 0.787 0.000 0.294
12 Sn 0.787 0.500 0.794
13 Pd 0.000 0.000 0.724
14 Pd 0.000 0.500 0.224
15 Pd 0.500 0.000 0.138
16 Pd 0.500 0.500 0.638

=====

No. 3
Compound: Li4TlSnPd2
Source: OQMD via LeMat-Bulk
Functional: GGA-PBE
Structure: relaxed

Cell: 4.528 4.528 6.352 Å, 90.00 90.00 90.00°
Sites, in units of the cell vectors:
1 Li 0.000 0.000 0.000
2 Li 0.000 0.500 0.250
3 Li 0.500 0.000 0.750
4 Li 0.500 0.500 0.500
5 Tl 0.000 0.000 0.500
6 Sn 0.500 0.500 0.000
7 Pd 0.000 0.500 0.765
8 Pd 0.500 0.000 0.235

=====

No. 4
Compound: LiTmSnPd
Source: OQMD via LeMat-Bulk
Functional: GGA-PBE
Structure: relaxed

Cell: 6.680 6.680 6.680 Å, 90.00 90.00 90.00°
Sites, in units of the cell vectors:
1 Li 0.000 0.000 0.000
2 Li 0.000 0.500 0.500
3 Li 0.500 0.000 0.500
4 Li 0.500 0.500 0.000
5 Tm 0.250 0.250 0.750
6 Tm 0.250 0.750 0.250
7 Tm 0.750 0.250 0.250
8 Tm 0.750 0.750 0.750
9 Sn 0.250 0.250 0.250
10 Sn 0.250 0.750 0.750
11 Sn 0.750 0.250 0.750
12 Sn 0.750 0.750 0.250
13 Pd 0.000 0.000 0.500
14 Pd 0.000 0.500 0.000
15 Pd 0.500 0.000 0.000
16 Pd 0.500 0.500 0.500

=====

no.,calculated total energy (Ha/atom)
1,-0.1562
2,-0.1578
3,-0.1297
4,-0.1725